[1]
Material: Ac3ErPb5
Method: DFT, PBE
State: relaxed

The final energy is -4.42 eV/atom. For the formation energy, the calculation gives -4.36 eV per formula unit.

The space group is P6_3/mcm (No. 193) and the conventional cell measures 10.0878, 10.0878 and 6.8847 Å, with angles of 90.00, 90.00 and 120.00 degrees. The distinct sites, in fractional coordinates, are Ac at (0.0000, 0.3830, 0.2500), Er at (0.0000, 0.0000, 0.0000), Pb at (0.0000, 0.2732, 0.7500) and Pb at (0.3333, 0.6667, 0.0000).



[2]
Material: Ac6ErPb10
Method: DFT, PBE
State: relaxed

The final energy is -4.30 eV/atom. For the formation energy, the calculation gives -6.73 eV per formula unit.

The space group is P-31m (No. 162) and the conventional cell measures 10.0065, 10.0065 and 6.8471 Å, with angles of 90.00, 90.00 and 120.00 degrees. The distinct sites, in fractional coordinates, are Ac at (0.0000, 0.3908, 0.2387), Er at (0.0000, 0.0000, 0.0000), Pb at (0.0000, 0.2382, 0.6929), Pb at (0.3333, 0.6667, 0.0000) and Pb at (0.3333, 0.6667, 0.5000).



[3]
Material: AcEr5Pb6
Method: DFT, PBE
State: relaxed

The final energy is -4.50 eV/atom. For the formation energy, the calculation gives -4.79 eV per formula unit.

The space group is C2/m (No. 12) and the conventional cell measures 6.213, 15.312 and 7.916 Å, with angles of 90.00, 104.51 and 90.00 degrees. The distinct sites, in fractional coordinates, are Ac at (0.000, 0.000, 0.000), Er at (0.000, 0.000, 0.500), Er at (0.000, 0.327, 0.000), Er at (0.000, 0.348, 0.500), Pb at (0.005, 0.175, 0.730) and Pb at (0.029, 0.500, 0.240).



[4]
Material: AcErPdPb
Method: DFT, PBE
State: relaxed

The final energy is -4.92 eV/atom. For the formation energy, the calculation gives -2.10 eV per formula unit.

The space group is F-43m (No. 216) and the conventional cell measures 7.692, 7.692 and 7.692 Å, with angles of 90.00, 90.00 and 90.00 degrees. The distinct sites, in fractional coordinates, are Ac at (0.000, 0.000, 0.000), Er at (0.000, 0.000, 0.500), Pd at (0.250, 0.250, 0.250) and Pb at (0.250, 0.250, 0.750).



[5]
Material: Ac2ErPd4Pb3
Method: DFT, PBE
State: relaxed

The final energy is -5.10 eV/atom. For the formation energy, the calculation gives -6.32 eV per formula unit.

The space group is P-4m2 (No. 115) and the conventional cell measures 4.781, 4.781 and 11.294 Å, with angles of 90.00, 90.00 and 90.00 degrees. The distinct sites, in fractional coordinates, are Ac at (0.000, 0.500, 0.226), Er at (0.000, 0.000, 0.500), Pd at (0.000, 0.000, 0.000), Pd at (0.000, 0.500, 0.637), Pd at (0.500, 0.500, 0.000), Pb at (0.000, 0.500, 0.876) and Pb at (0.500, 0.500, 0.500).



[6]
Material: Ac2ErPd6Pb3
Method: DFT, PBE
State: relaxed

The final energy is -5.03 eV/atom. For the formation energy, the calculation gives -5.33 eV per formula unit.

The space group is P4/mmm (No. 123) and the conventional cell measures 4.121, 4.121 and 18.940 Å, with angles of 90.00, 90.00 and 90.00 degrees. The distinct sites, in fractional coordinates, are Ac at (0.000, 0.000, 0.116), Er at (0.000, 0.000, 0.500), Pd at (0.000, 0.500, 0.397), Pd at (0.500, 0.500, 0.156), Pb at (0.500, 0.500, 0.000) and Pb at (0.500, 0.500, 0.298).



[7]
Material: AcPmErPb
Method: DFT, PBE
State: relaxed

The final energy is -4.35 eV/atom. For the formation energy, the calculation gives -0.27 eV per formula unit.

The space group is F-43m (No. 216) and the conventional cell measures 7.986, 7.986 and 7.986 Å, with angles of 90.00, 90.00 and 90.00 degrees. The distinct sites, in fractional coordinates, are Ac at (0.000, 0.000, 0.000), Pm at (0.250, 0.250, 0.750), Er at (0.250, 0.250, 0.250) and Pb at (0.000, 0.000, 0.500).



[8]
Material: AcErPuPb
Method: DFT, PBE
State: relaxed

The final energy is -6.60 eV/atom. For the formation energy, the calculation gives 0.32 eV per formula unit.

The space group is F-43m (No. 216) and the conventional cell measures 7.910, 7.910 and 7.910 Å, with angles of 90.00, 90.00 and 90.00 degrees. The distinct sites, in fractional coordinates, are Ac at (0.000, 0.000, 0.000), Er at (0.250, 0.250, 0.250), Pu at (0.250, 0.250, 0.750) and Pb at (0.000, 0.000, 0.500).



[9]
Material: AcErRhPb
Method: DFT, PBE
State: relaxed

The final energy is -5.31 eV/atom. For the formation energy, the calculation gives -1.50 eV per formula unit.

The space group is F-43m (No. 216) and the conventional cell measures 7.601, 7.601 and 7.601 Å, with angles of 90.00, 90.00 and 90.00 degrees. The distinct sites, in fractional coordinates, are Ac at (0.000, 0.000, 0.000), Er at (0.000, 0.000, 0.500), Rh at (0.250, 0.250, 0.750) and Pb at (0.250, 0.250, 0.250).



[10]
Material: AcErSnPb
Method: DFT, PBE
State: relaxed

The final energy is -4.53 eV/atom. For the formation energy, the calculation gives -1.75 eV per formula unit.

The space group is F-43m (No. 216) and the conventional cell measures 7.951, 7.951 and 7.951 Å, with angles of 90.00, 90.00 and 90.00 degrees. The distinct sites, in fractional coordinates, are Ac at (0.000, 0.000, 0.000), Er at (0.000, 0.000, 0.500), Sn at (0.250, 0.250, 0.250) and Pb at (0.250, 0.250, 0.750).



[11]
Material: AcTbErPb
Method: DFT, PBE
State: relaxed

The final energy is -4.29 eV/atom. For the formation energy, the calculation gives -0.17 eV per formula unit.

The space group is F-43m (No. 216) and the conventional cell measures 7.925, 7.925 and 7.925 Å, with angles of 90.00, 90.00 and 90.00 degrees. The distinct sites, in fractional coordinates, are Ac at (0.000, 0.000, 0.000), Tb at (0.250, 0.250, 0.750), Er at (0.250, 0.250, 0.250) and Pb at (0.000, 0.000, 0.500).



[12]
Material: AcErTmPb
Method: DFT, PBE
State: relaxed

The final energy is -4.22 eV/atom. For the formation energy, the calculation gives -0.03 eV per formula unit.

The space group is F-43m (No. 216) and the conventional cell measures 7.887, 7.887 and 7.887 Å, with angles of 90.00, 90.00 and 90.00 degrees. The distinct sites, in fractional coordinates, are Ac at (0.000, 0.000, 0.000), Er at (0.250, 0.250, 0.750), Tm at (0.250, 0.250, 0.250) and Pb at (0.000, 0.000, 0.500).